No. 1
SrIn2Cl4: relaxed, PBE.

- formation energy from raw total energies (eV per atom) = -1.50
- energy above the lowest structure with this stoichiometry (eV/atom) = 0.0006

abc: 17.0142 4.4300 6.5223
angles: 90.00 106.28 90.00
With the nearest neighbours (Å) after each atom.
Space group C2/m (No. 12)
Symmetry-distinct sites (fractional):
Sr (0.0000, 0.0000, 0.0000) (multiplicity 2)  6 Cl 2.91-2.96
In (0.2152, 0.5000, 0.6643) (multiplicity 4)  3 Cl 2.90-2.97
Cl (0.0714, 0.5000, 0.2795) (multiplicity 4)  2 Sr 2.91, 1 In 2.97
Cl (0.1487, 0.0000, 0.8504) (multiplicity 4)  2 In 2.90, 1 Sr 2.96



No. 2
BeRh3: relaxed, PBE.

- energy of formation (eV per atom) = -0.1604

abc: 3.7296 3.7296 7.4754
angles: 90.00 90.00 90.00
With the nearest neighbours (Å) after each atom.
Space group I4/mmm (No. 139)
Symmetry-distinct sites (fractional):
Be (0.0000, 0.0000, 0.0000) (multiplicity 2)  12 Rh 2.64
Rh (0.0000, 0.0000, 0.5000) (multiplicity 2)  4 Be 2.64, 8 Rh 2.64
Rh (0.0000, 0.5000, 0.2500) (multiplicity 4)  8 Rh 2.64, 4 Be 2.64



No. 3
YHo2TmSc2: relaxed, PBE.

- energy of formation (eV per atom) = 0.2805

abc: 6.2615 17.2294 3.3255
angles: 90.00 90.00 90.00
With the nearest neighbours (Å) after each atom.
Space group Pnnm (No. 58)
Symmetry-distinct sites (fractional):
Y (0.0000, 0.0000, 0.0000) (multiplicity 2)  2 Y 3.33, 4 Sc 3.34, 4 Tm 3.54
Ho (0.2304, 0.3105, 0.0000) (multiplicity 4)  4 Sc 3.21-3.29, 2 Ho 3.33, 1 Tm 3.57
Tm (0.0000, 0.5000, 0.0000) (multiplicity 2)  2 Sc 3.04, 2 Tm 3.33
Sc (0.2288, 0.1461, 0.5000) (multiplicity 4)  1 Tm 3.04, 4 Ho 3.21-3.29, 2 Sc 3.33, 2 Y 3.34



No. 4
Pr2Y3PuSe6: relaxed, PBE.

- formation energy from raw total energies (eV per atom) = -1.77

abc: 18.1738 4.1211 8.3869
angles: 90.00 104.07 90.00
With the nearest neighbours (Å) after each atom.
Space group C2/m (No. 12)
Symmetry-distinct sites (fractional):
Pr (0.1661, 0.0000, 0.3326) (multiplicity 4)  6 Se 3.00-3.01
Y (0.0000, 0.5000, 0.5000) (multiplicity 2)  6 Se 2.88-2.92
Y (0.1679, 0.0000, 0.8360) (multiplicity 4)  6 Se 2.87-2.90
Pu (0.0000, 0.5000, 0.0000) (multiplicity 2)  6 Se 2.95-2.96
Se (0.0040, 0.0000, 0.7487) (multiplicity 4)  3 Y 2.89-2.92, 2 Pu 2.96, 1 Pr 3.00
Se (0.1632, 0.5000, 0.5928) (multiplicity 4)  3 Y 2.88-2.89, 3 Pr 3.01
Se (0.1673, 0.5000, 0.0740) (multiplicity 4)  3 Y 2.87-2.90, 1 Pu 2.95, 2 Pr 3.00